KSrSe2Br PBE-GGA relaxed; magnetic moment = 0.00 μB per formula unit; raw formation energy = -0.51 eV/atom; space-group type = P4/mmm
1.0
5.553 0.000 0.000
0.000 5.553 0.000
0.000 0.000 5.852
K Sr Se Br
1 1 2 1
Cartesian
0.000 0.000 0.000
2.777 2.777 2.926
0.000 2.777 0.000
2.777 0.000 0.000
0.000 0.000 2.926


TbPaZnHg PBE-GGA relaxed; magnetic moment = 1.91 μB per formula unit; formation energy = -0.0029 eV per atom; space-group type = F-43m
1.0
0.000 3.666 3.666
3.666 0.000 3.666
3.666 3.666 0.000
Tb Pa Zn Hg
1 1 1 1
Cartesian
0.000 0.000 0.000
3.666 3.666 3.666
1.833 1.833 1.833
5.499 5.499 5.499


Question: What is the formula in the first record?
Answer: KSrSe2Br